This record from Alexandria describes a relaxed TlTeI2O crystal. The functional is PBEsol.

a = 5.9272 Å, b = 5.9272 Å, c = 5.8441 Å
α = 90.00°, β = 90.00°, γ = 90.00°
Last column: nearest neighbours and their distance in Å.
Sites, in units of the cell vectors:
I: 0.0000 0.5000 0.0000  2 Tl 2.96
I: 0.5000 0.0000 0.0000  2 Tl 2.96
Tl: 0.0000 0.0000 0.0000  2 Te 2.92, 4 I 2.96
Te: 0.0000 0.0000 0.5000  2 Tl 2.92
O: 0.5000 0.5000 0.5000  8 I 4.16, 4 Te 4.19

Calculated values
mass density: 4.867 g cm⁻³
electronic total energy: -2.1281 eV/atom
offset from the most stable computed form: 1252 meV/atom
space group: No. 123

This record from Alexandria describes a relaxed HfZr2Rh crystal. The functional is PBEsol.

a = 4.7281 Å, b = 4.7281 Å, c = 4.7281 Å
α = 60.00°, β = 60.00°, γ = 60.00°
Last column: nearest neighbours and their distance in Å.
Sites, in units of the cell vectors:
Rh: 0.0000 0.0000 0.0000  8 Zr 2.90
Hf: 0.5000 0.5000 0.5000  8 Zr 2.90
Zr: 0.2500 0.2500 0.2500  4 Hf 2.90, 4 Rh 2.90
Zr: 0.7500 0.7500 0.7500  4 Hf 2.90, 4 Rh 2.90

Calculated values
mass density: 10.305 g cm⁻³
electronic total energy: -9.4179 eV/atom
space group: No. 225

This record from Alexandria describes a relaxed NiMoOs2 crystal. The functional is PBEsol.

a = 2.6884 Å, b = 2.6884 Å, c = 8.8275 Å
α = 81.24°, β = 81.24°, γ = 60.00°
Last column: nearest neighbours and their distance in Å.
Sites, in units of the cell vectors:
Mo: 0.5026 0.5026 0.4923  3 Ni 2.64, 6 Mo 2.69, 3 Os 2.76
Ni: 0.2511 0.2511 0.2466  3 Os 2.60, 3 Mo 2.64, 6 Ni 2.69
Os: 0.9978 0.9978 0.0065  3 Ni 2.60, 9 Os 2.68-2.69
Os: 0.7485 0.7485 0.7546  9 Os 2.68-2.69, 3 Mo 2.76

Calculated values
mass density: 16.336 g cm⁻³
electronic total energy: -10.4029 eV/atom
offset from the most stable computed form: 106 meV/atom
space group: No. 160

This record from Alexandria describes a relaxed Cd2AsIr crystal. The functional is PBEsol.

a = 3.1801 Å, b = 4.0284 Å, c = 5.4782 Å
α = 90.00°, β = 90.00°, γ = 90.00°
Last column: nearest neighbours and their distance in Å.
Sites, in units of the cell vectors:
As: 0.5000 0.5000 0.5000  2 Ir 2.74, 8 Cd 2.93
Ir: 0.5000 0.5000 0.0000  2 As 2.74, 8 Cd 2.89
Cd: 0.0000 0.0000 0.7581  2 Cd 2.65-2.83, 4 Ir 2.89, 4 As 2.93
Cd: 0.0000 0.0000 0.2419  2 Cd 2.65-2.83, 4 Ir 2.89, 4 As 2.93

Calculated values
mass density: 11.641 g cm⁻³
electronic total energy: -4.0821 eV/atom
space group: No. 47

This record from Alexandria describes a relaxed RbZnHg2 crystal. The functional is PBEsol.

a = 5.4168 Å, b = 5.4168 Å, c = 5.4168 Å
α = 60.00°, β = 60.00°, γ = 60.00°
Last column: nearest neighbours and their distance in Å.
Sites, in units of the cell vectors:
Zn: 0.0000 0.0000 0.0000  8 Hg 3.32
Hg: 0.2500 0.2500 0.2500  4 Rb 3.32, 4 Zn 3.32
Hg: 0.7500 0.7500 0.7500  4 Zn 3.32, 4 Rb 3.32
Rb: 0.5000 0.5000 0.5000  8 Hg 3.32

Calculated values
mass density: 8.157 g cm⁻³
electronic total energy: -0.8668 eV/atom
space group: No. 225

This record from Alexandria describes a relaxed TiNbRe2 crystal. The functional is PBEsol.

a = 4.4301 Å, b = 4.4301 Å, c = 4.4301 Å
α = 60.00°, β = 60.00°, γ = 60.00°
Last column: nearest neighbours and their distance in Å.
Sites, in units of the cell vectors:
Re: 0.2500 0.2500 0.2500  4 Nb 2.71, 4 Ti 2.71
Re: 0.7500 0.7500 0.7500  4 Nb 2.71, 4 Ti 2.71
Nb: 0.5000 0.5000 0.5000  8 Re 2.71
Ti: 0.0000 0.0000 0.0000  8 Re 2.71

Calculated values
mass density: 13.861 g cm⁻³
electronic total energy: -11.8187 eV/atom
space group: No. 225

This record from Alexandria describes a relaxed NiTe8Mo6 crystal. The functional is PBEsol.

a = 7.0113 Å, b = 7.0539 Å, c = 7.0867 Å
α = 90.58°, β = 95.48°, γ = 89.60°
Last column: nearest neighbours and their distance in Å.
Sites, in units of the cell vectors:
Ni: 0.8228 0.9298 0.5047  4 Te 2.43-2.56, 1 Mo 2.60
Te: 0.7930 0.7720 0.8108  1 Ni 2.48, 2 Mo 2.74
Te: 0.2032 0.2286 0.2095  3 Mo 2.70-2.74
Te: 0.9062 0.2490 0.6419  1 Ni 2.49, 2 Mo 2.75-2.76
Te: 0.1043 0.7583 0.3707  1 Ni 2.56, 3 Mo 2.76-2.83
Te: 0.2650 0.6293 0.8665  4 Mo 2.69-2.84
Te: 0.7384 0.3709 0.1298  4 Mo 2.69-2.83
Te: 0.5849 0.8902 0.2352  1 Ni 2.43, 1 Mo 2.70
Te: 0.3892 0.1177 0.7463  4 Mo 2.70-2.82
Mo: 0.5916 0.4425 0.7507  4 Mo 2.65-2.72, 5 Te 2.70-2.83
Mo: 0.4144 0.5483 0.2435  4 Mo 2.66-2.78, 5 Te 2.70-2.84
Mo: 0.7602 0.5694 0.4575  1 Ni 2.60, 4 Mo 2.65-2.76, 4 Te 2.69-2.88
Mo: 0.2458 0.4254 0.5416  4 Mo 2.67-2.83, 5 Te 2.69-2.85
Mo: 0.4596 0.7643 0.5751  4 Mo 2.70-2.83, 5 Te 2.74-2.82, 1 Ni 2.90
Mo: 0.5496 0.2397 0.4246  4 Mo 2.66-2.76, 5 Te 2.74-2.82, 1 Ni 2.92

Calculated values
mass density: 7.878 g cm⁻³
electronic total energy: -7.2468 eV/atom
space group: No. 1

This record from Alexandria describes a relaxed TcBr3O crystal. The functional is PBEsol.

a = 4.9934 Å, b = 4.9934 Å, c = 4.9934 Å
α = 90.00°, β = 90.00°, γ = 90.00°
Last column: nearest neighbours and their distance in Å.
Sites, in units of the cell vectors:
O: 0.5000 0.5000 0.5000  12 Br 3.53
Tc: 0.0000 0.0000 0.0000  6 Br 2.50
Br: 0.0000 0.5000 0.0000  2 Tc 2.50
Br: 0.0000 0.0000 0.5000  2 Tc 2.50
Br: 0.5000 0.0000 0.0000  2 Tc 2.50

Calculated values
mass density: 4.717 g cm⁻³
electronic total energy: -3.7480 eV/atom
space group: No. 221

This record from Alexandria describes a relaxed BaTlNi2 crystal. The functional is PBEsol.

a = 4.4397 Å, b = 4.4406 Å, c = 5.9621 Å
α = 68.11°, β = 68.14°, γ = 60.01°
Last column: nearest neighbours and their distance in Å.
Sites, in units of the cell vectors:
Ba: 0.0000 0.5000 0.5000  2 Ni 2.96
Ni: 0.1835 0.6834 0.9496  3 Tl 2.58, 3 Ni 2.62
Ni: 0.8165 0.3166 0.0504  3 Tl 2.58, 3 Ni 2.62
Tl: 0.5000 0.0000 0.0000  6 Ni 2.58

Calculated values
mass density: 8.296 g cm⁻³
electronic total energy: -4.3127 eV/atom
space group: No. 166

This record from Alexandria describes a relaxed Cs3BiSe crystal. The functional is PBEsol.

a = 6.7613 Å, b = 6.7613 Å, c = 6.7613 Å
α = 90.00°, β = 90.00°, γ = 90.00°
Last column: nearest neighbours and their distance in Å.
Sites, in units of the cell vectors:
Cs: 0.0000 0.5000 0.0000  2 Se 3.38
Cs: 0.0000 0.0000 0.5000  2 Se 3.38
Cs: 0.5000 0.0000 0.0000  2 Se 3.38
Bi: 0.5000 0.5000 0.5000  12 Cs 4.78
Se: 0.0000 0.0000 0.0000  6 Cs 3.38

Calculated values
mass density: 3.689 g cm⁻³
electronic total energy: -2.5754 eV/atom
space group: No. 221

This record from Alexandria describes a relaxed Sr5La crystal. The functional is PBEsol.

a = 4.0256 Å, b = 6.6525 Å, c = 10.8478 Å
α = 90.00°, β = 100.69°, γ = 90.00°
Last column: nearest neighbours and their distance in Å.
Sites, in units of the cell vectors:
Sr: 0.3400 0.0000 0.6800  2 La 3.98, 10 Sr 4.02-4.29
Sr: 0.6623 0.0000 0.3246  2 La 3.98, 10 Sr 4.03-4.29
Sr: 0.4462 0.5000 0.8925  8 Sr 3.96-4.13, 4 La 4.06
Sr: 0.7772 0.5000 0.5544  12 Sr 4.03-4.16
Sr: 0.1064 0.5000 0.2127  10 Sr 3.96-4.16, 2 La 4.01
La: 0.0013 0.0000 0.0025  10 Sr 3.98-4.06, 2 La 4.03

Calculated values
mass density: 3.356 g cm⁻³
electronic total energy: -2.3251 eV/atom
space group: No. 38

This record from Alexandria describes a relaxed Bi7O5F11 crystal. The functional is PBEsol.

a = 5.5302 Å, b = 7.2315 Å, c = 9.1348 Å
α = 95.23°, β = 90.00°, γ = 112.48°
Last column: nearest neighbours and their distance in Å.
Sites, in units of the cell vectors:
Bi: 0.4298 0.8605 0.7892  3 O 2.24-2.34, 2 F 2.28-2.44
Bi: 0.5693 0.1395 0.2108  3 O 2.24-2.34, 2 F 2.28-2.44
Bi: 0.6817 0.3878 0.6398  2 O 2.15-2.38, 2 F 2.32-2.36
Bi: 0.2940 0.6122 0.3602  2 O 2.15-2.38, 2 F 2.32-2.36
Bi: 0.8991 0.0000 0.5000  4 O 2.18-2.35
Bi: 0.0473 0.2550 0.9218  2 O 2.24-2.26, 4 F 2.25-2.45
Bi: 0.7923 0.7450 0.0782  2 O 2.24-2.26, 4 F 2.25-2.45
O: 0.7033 0.0000 0.0000  4 Bi 2.26-2.34
O: 0.7768 0.1198 0.7238  4 Bi 2.24-2.38
O: 0.6570 0.8802 0.2762  4 Bi 2.24-2.38
O: 0.5183 0.7816 0.5539  3 Bi 2.15-2.28
O: 0.7367 0.2184 0.4461  3 Bi 2.15-2.28
F: 0.1972 0.0000 0.0000  4 Bi 2.45-2.65, 1 O 2.73
F: 0.2841 0.1199 0.7191  3 Bi 2.44-2.60, 1 O 2.73
F: 0.1642 0.8801 0.2809  3 Bi 2.44-2.60, 1 O 2.73
F: 0.3128 0.3489 0.4814  2 Bi 2.32-2.41
F: 0.9638 0.6511 0.5186  2 Bi 2.32-2.41
F: 0.3567 0.6176 0.0352  1 Bi 2.25
F: 0.7392 0.3824 0.9648  1 Bi 2.25
F: 0.7209 0.7103 0.8111  2 Bi 2.28-2.45
F: 0.0106 0.2897 0.1889  2 Bi 2.28-2.45
F: 0.1086 0.4971 0.7455  3 Bi 2.36-2.54, 1 O 2.63
F: 0.6115 0.5029 0.2545  3 Bi 2.36-2.54, 1 O 2.63

Calculated values
mass density: 8.660 g cm⁻³
electronic total energy: -5.4595 eV/atom
space group: No. 5

Q: Which value of mass density does entry 3 give?
A: 16.336 g cm⁻³

Q: Which value of mass density does entry 5 give?
A: 8.157 g cm⁻³

Q: Which value of mass density does entry 5 give?
A: 8.157 g cm⁻³